# 1
{"formula": "GdLuNO", "functional": "PBE", "state": "optimized geometry", "dft_energy_ev_per_cell": -125.77, "relative_energy_mev_per_atom": 41.4, "m_tot_mub_per_fu": 0.0, "cell": [[-4.437, 1.819, -4.506], [-3.676, -7.038, 0.778], [-2.804, 1.853, 3.510]], "species": ["Gd", "Gd", "Gd", "Gd", "Lu", "Lu", "Lu", "Lu", "N", "N", "N", "N", "O", "O", "O", "O"], "fractional_positions": [[0.568, 0.376, 0.051], [0.068, 0.624, 0.051], [0.932, 0.376, 0.551], [0.432, 0.624, 0.551], [0.086, 0.123, 0.050], [0.586, 0.877, 0.050], [0.414, 0.123, 0.550], [0.914, 0.877, 0.550], [0.423, 0.118, 0.051], [0.923, 0.882, 0.051], [0.077, 0.118, 0.551], [0.577, 0.882, 0.551], [0.911, 0.356, 0.050], [0.411, 0.644, 0.050], [0.589, 0.356, 0.550], [0.089, 0.644, 0.550]]}

---

# 2
{"formula": "GdLuNb", "functional": "PBE", "state": "optimized geometry", "dft_energy_ev_per_cell": -16.88, "relative_energy_mev_per_atom": 0.0, "m_tot_mub_per_fu": 2.1, "cell": [[-3.984, 0.383, 3.055], [-0.260, 3.760, 3.339], [-3.326, 3.724, -0.655]], "species": ["Gd", "Lu", "Nb"], "fractional_positions": [[0.750, 0.750, 0.750], [0.250, 0.250, 0.250], [0.000, 0.000, 0.000]]}